[1]
Computed, not measured: a relaxed structure of ZnPb at the PBE-GGA level of DFT.

Cell: 4.3286 5.3898 4.2146 Å, 90.00 90.00 90.00°
Space group Cmmm (No. 65)
Unique sites:
Zn 0.0000 0.0000 0.0000
Pb 0.0000 0.5000 0.5000

Summary:
The energy of formation comes out at 0.4 eV per formula unit.

[2]
Computed, not measured: a relaxed structure of ZnPb3 at the PBE-GGA level of DFT.

Cell: 3.5696 4.2186 7.4809 Å, 90.00 90.00 90.00°
Space group Pmmm (No. 47)
Unique sites:
Zn 0.0000 0.0000 0.0000
Pb 0.0000 0.0000 0.5000
Pb 0.5000 0.5000 0.2207

Summary:
The energy of formation comes out at 0.4 eV per formula unit.

[3]
Computed, not measured: a relaxed structure of ZnPb at the PBE-GGA level of DFT.

Cell: 4.3125 4.3125 10.5360 Å, 90.00 90.00 90.00°
Space group I4_1/amd (No. 141, origin choice 2)
Unique sites:
Zn 0.0000 0.2500 0.3750
Pb 0.0000 0.2500 0.8750

Summary:
The energy of formation comes out at 0.4 eV per formula unit.

[4]
Computed, not measured: a relaxed structure of Zn3Pb at the PBE-GGA level of DFT.

Cell: 6.8974 6.8974 6.8974 Å, 90.00 90.00 90.00°
Space group Fm-3m (No. 225)
Unique sites:
Zn 0.0000 0.0000 0.0000
Zn 0.2500 0.2500 0.2500
Pb 0.0000 0.0000 0.5000

Summary:
The energy of formation comes out at 1.0 eV per formula unit.

[5]
Computed, not measured: a relaxed structure of ZnPb2 at the PBE-GGA level of DFT.

Cell: 5.4731 5.4731 3.2591 Å, 90.00 90.00 120.00°
Space group P6/mmm (No. 191)
Unique sites:
Zn 0.0000 0.0000 0.0000
Pb 0.3333 0.6667 0.5000

Summary:
The energy of formation comes out at 0.8 eV per formula unit.

[6]
Computed, not measured: a relaxed structure of ZnPb2 at the PBE-GGA level of DFT.

Cell: 3.4909 16.0913 5.8515 Å, 90.00 90.00 90.00°
Space group Cmcm (No. 63)
Unique sites:
Zn 0.0000 0.1051 0.2500
Pb 0.0000 0.2357 0.7500
Pb 0.0000 0.4509 0.2500

Summary:
The energy of formation comes out at 0.4 eV per formula unit.

Record order is preserved below.
E: -2.304; -2.998; -2.306; -1.627; -2.626; -2.762 eV/atom